Material: Sr2Fe3O6
Method: DFT, PBEsol
State: relaxed

Results
Theoretical density (g/cm3): 5.161
Raw total energy (eV for the cell shown): -327.89

```
data_Sr2Fe3O6
_cell_length_a 5.3394
_cell_length_b 5.3394
_cell_length_c 19.8087
_cell_angle_alpha 90.00
_cell_angle_beta 90.00
_cell_angle_gamma 90.00
_symmetry_space_group_name_H-M 'P 42/m n m'
_symmetry_Int_Tables_number 136
_symmetry_space_group_name_Hall '-P 4n 2n'
loop_
_atom_site_label
_atom_site_type_symbol
_atom_site_fract_x
_atom_site_fract_y
_atom_site_fract_z
Sr1 Sr 0.2424 0.2424 0.0907
Fe1 Fe 0.1808 0.1808 0.2957
Fe2 Fe 0.2478 0.2478 0.5000
O1 O 0.0000 0.0000 0.0000
O2 O 0.0000 0.0000 0.5000
O3 O 0.0000 0.5000 0.0000
O4 O 0.1917 0.8083 0.2871
O5 O 0.2494 0.2494 0.3854
```



Material: In2MoCl
Method: DFT, PBEsol
State: relaxed

Results
Theoretical density (g/cm3): 7.632
Raw total energy (eV for the cell shown): -57.80

```
data_In2MoCl
_cell_length_a 3.2171
_cell_length_b 3.2171
_cell_length_c 26.2895
_cell_angle_alpha 90.00
_cell_angle_beta 90.00
_cell_angle_gamma 120.00
_symmetry_space_group_name_H-M 'R -3 m'
_symmetry_Int_Tables_number 166
_symmetry_space_group_name_Hall '-R 3 2"'
loop_
_atom_site_label
_atom_site_type_symbol
_atom_site_fract_x
_atom_site_fract_y
_atom_site_fract_z
In1 In 0.0000 0.0000 0.2470
Mo1 Mo 0.0000 0.0000 0.5000
Cl1 Cl 0.0000 0.0000 0.0000
```



Material: Na2Te2O5
Method: DFT, PBEsol
State: relaxed

Results
Theoretical density (g/cm3): 4.676
Raw total energy (eV for the cell shown): -386.72

```
data_Na2Te2O5
_cell_length_a 23.4795
_cell_length_b 4.8738
_cell_length_c 9.6887
_cell_angle_alpha 90.00
_cell_angle_beta 102.39
_cell_angle_gamma 90.00
_symmetry_space_group_name_H-M 'C 1 2/c 1'
_symmetry_Int_Tables_number 15
loop_
_symmetry_equiv_pos_as_xyz
'x,y,z'
'-x,-y,-z'
'-x,y,-z+1/2'
'x,-y,z+1/2'
'x+1/2,y+1/2,z'
'-x+1/2,-y+1/2,-z'
'-x+1/2,y+1/2,-z+1/2'
'x+1/2,-y+1/2,z+1/2'
loop_
_atom_site_label
_atom_site_type_symbol
_atom_site_fract_x
_atom_site_fract_y
_atom_site_fract_z
Na1 Na 0.0513 0.0135 0.4111
Na2 Na 0.1700 0.0073 0.7086
Te1 Te 0.0590 0.4927 0.1767
Te2 Te 0.1895 0.4103 0.4567
O1 O 0.0443 0.4762 0.8636
O2 O 0.0525 0.1110 0.1548
O3 O 0.1456 0.4970 0.2485
O4 O 0.1478 0.0903 0.4629
O5 O 0.2471 0.2525 0.3646
```